# 1
{
  "formula": "Ba2Cu",
  "functional": "PBE",
  "state": "optimized geometry",
  "lattice_angstrom": [[-6.678, 1.470, 6.893], [2.355, -1.100, 9.355], [0.630, 7.767, 5.793]],
  "species": ["Ba", "Ba", "Ba", "Ba", "Cu", "Cu"],
  "fractional_positions": [[0.375, 0.375, 0.875], [0.375, 0.375, 0.375], [0.375, 0.875, 0.375], [0.875, 0.375, 0.375], [0.500, 0.500, 0.500], [0.250, 0.250, 0.250]],
  "energy_ev_per_atom": -1.83
}

# 2
{
  "formula": "TbLu2Ni4Ge4",
  "functional": "PBE",
  "state": "optimized geometry",
  "lattice_angstrom": [[-2.013, 3.369, 6.686], [2.013, -3.369, 6.686], [2.013, 3.369, -6.686]],
  "species": ["Lu", "Lu", "Ge", "Ge", "Ge", "Ge", "Ni", "Ni", "Ni", "Ni", "Tb"],
  "fractional_positions": [[0.629, 0.129, 0.500], [0.371, 0.871, 0.500], [0.781, 0.781, 0.000], [0.219, 0.219, 0.000], [0.692, 0.500, 0.192], [0.308, 0.500, 0.808], [0.981, 0.677, 0.303], [0.626, 0.323, 0.303], [0.374, 0.677, 0.697], [0.019, 0.323, 0.697], [0.000, 0.000, 0.000]],
  "energy_ev_per_atom": -5.70
}

# 3
{
  "formula": "ZnPPtO",
  "functional": "PBE",
  "state": "optimized geometry",
  "lattice_angstrom": [[-2.089, -0.504, -3.003], [1.198, -3.483, -0.248], [-6.057, -2.412, 4.618]],
  "species": ["Pt", "Pt", "Zn", "Zn", "O", "O", "P", "P"],
  "fractional_positions": [[0.000, 0.500, 0.154], [0.500, 0.000, 0.846], [0.000, 0.000, 0.500], [0.500, 0.500, 0.500], [0.500, 0.500, 0.000], [0.000, 0.000, 0.000], [0.000, 0.500, 0.721], [0.500, 0.000, 0.279]],
  "e_above_lowest_polymorph_ev_per_fu": 3.84
}

# 4
{
  "formula": "ZrFeTcGe",
  "functional": "PBE",
  "state": "optimized geometry",
  "lattice_angstrom": [[0.000, 3.104, 3.104], [3.104, 0.000, 3.104], [3.104, 3.104, 0.000]],
  "species": ["Zr", "Ge", "Fe", "Tc"],
  "fractional_positions": [[0.500, 0.500, 0.500], [0.000, 0.000, 0.000], [0.750, 0.750, 0.750], [0.250, 0.250, 0.250]],
  "e_above_lowest_polymorph_ev_per_fu": 0.00
}

# 5
{
  "formula": "Ba2HgBi2",
  "functional": "PBE",
  "state": "optimized geometry",
  "lattice_angstrom": [[2.532, -9.380, 0.000], [2.532, 9.380, 0.000], [0.000, 0.000, 8.575]],
  "species": ["Ba", "Ba", "Ba", "Ba", "Hg", "Hg", "Bi", "Bi", "Bi", "Bi"],
  "fractional_positions": [[0.294, 0.706, 0.606], [0.473, 0.527, 0.269], [0.527, 0.473, 0.769], [0.706, 0.294, 0.106], [0.910, 0.090, 0.924], [0.090, 0.910, 0.424], [0.329, 0.671, 0.011], [0.671, 0.329, 0.511], [0.069, 0.931, 0.056], [0.931, 0.069, 0.556]],
  "energy_ev_per_atom": -3.18
}

# 6
{
  "formula": "Pr2In",
  "functional": "PBE",
  "state": "optimized geometry",
  "lattice_angstrom": [[5.600, 0.000, 0.000], [-2.800, 4.850, 0.000], [0.000, 0.000, 6.974]],
  "species": ["Pr", "Pr", "Pr", "Pr", "In", "In"],
  "fractional_positions": [[0.000, 0.000, 0.000], [0.667, 0.333, 0.750], [0.000, 0.000, 0.500], [0.333, 0.667, 0.250], [0.667, 0.333, 0.250], [0.333, 0.667, 0.750]],
  "energy_ev_per_atom": -4.44
}